LiEr2Be (PBE, optimized geometry); density of states at the Fermi level = 4.6 states/eV/cell; ΔE_f = 0.13 eV/atom; relative energy among the computed polymorphs = 42 meV/atom; total DFT energy (no corrections) = -14.25 eV/cell; total magnetization = 0.00 μB/cell
1.0
4.938 0.000 0.000
2.469 4.276 0.000
2.469 1.425 4.032
Li Be Er
1 1 2
Direct
0.500 0.500 0.500
0.000 0.000 0.000
0.250 0.250 0.250
0.750 0.750 0.750

Ba2SmI2N2 (PBE, optimized geometry); density of states at the Fermi level = 2.4 states/eV/cell; total DFT energy (no corrections) = -36.46 eV/cell; total magnetization = 0.82 μB/cell
1.0
-3.148 1.306 -3.252
-3.081 -3.114 1.732
-0.265 7.553 6.701
I Ba Sm N
2 2 1 2
Direct
0.826 0.826 0.652
0.174 0.174 0.348
0.405 0.405 0.809
0.595 0.595 0.191
0.000 0.000 0.000
0.000 0.500 0.000
0.500 0.000 0.000

La4PmNd2Dy (PBE, optimized geometry); density of states at the Fermi level = 12.6 states/eV/cell; ΔE_f = 0.01 eV/atom; total DFT energy (no corrections) = -38.49 eV/cell; total magnetization = 0.00 μB/cell
1.0
-5.088 -1.029 -0.902
1.285 -4.722 -1.859
0.412 -8.698 7.597
Dy La Pm Nd
1 4 1 2
Direct
0.500 0.500 0.000
0.500 0.752 0.248
0.500 0.248 0.752
0.000 0.250 0.249
0.000 0.750 0.751
0.000 0.500 0.500
0.500 0.000 0.500
0.000 0.000 0.000

DyHBr2 (PBE, optimized geometry); density of states at the Fermi level = 0.0 states/eV/cell; total DFT energy (no corrections) = -17.40 eV/cell; total magnetization = 0.00 μB/cell
1.0
-2.110 -3.004 1.122
1.457 -2.556 2.465
-2.901 2.283 6.943
H Br Dy
1 2 1
Direct
0.792 0.792 0.625
0.206 0.206 0.372
0.044 0.044 0.878
0.458 0.458 0.625